# 1
This record from Alexandria via LeMat-Bulk describes a geometry-optimized Tb2Er5Tm3 structure. The functional is PBE-GGA.

a b c (Å): 8.919 8.919 9.532
angles (deg): 106.72 106.72 106.00
Fractional positions:
Tb  0.044  0.293  0.045
Tb  0.293  0.044  0.545
Tb  0.707  0.956  0.455
Tb  0.956  0.707  0.955
Er  0.036  0.964  0.750
Er  0.083  0.323  0.682
Er  0.251  0.749  0.750
Er  0.323  0.083  0.182
Er  0.499  0.501  0.250
Er  0.501  0.499  0.750
Er  0.677  0.917  0.818
Er  0.749  0.251  0.250
Er  0.917  0.677  0.318
Er  0.964  0.036  0.250
Tm  0.201  0.458  0.423
Tm  0.274  0.726  0.250
Tm  0.458  0.201  0.923
Tm  0.542  0.799  0.077
Tm  0.726  0.274  0.750
Tm  0.799  0.542  0.577

Properties
total magnetic moment	0.0	μB/f.u.
theoretical density	8.62	g/cm3
energy above the most stable polymorph in this dataset	0.0	meV per atom
ΔH_f (0 K)	0.22	eV/atom
crystal system	monoclinic
total energy	-0.159	Ha/atom



# 2
This record from Alexandria via LeMat-Bulk describes a geometry-optimized HfMn2PtC structure. The functional is PBE-GGA.

a b c (Å): 3.878 3.878 4.450
angles (deg): 90.00 90.00 90.00
Fractional positions:
Hf  0.000  0.000  0.000
Mn  0.000  0.500  0.500
Mn  0.500  0.000  0.500
Pt  0.500  0.500  0.000
C  0.000  0.000  0.500

Properties
total magnetic moment	3.6	μB/f.u.
theoretical density	12.29	g/cm3
energy above the most stable polymorph in this dataset	0.0	meV per atom
ΔH_f (0 K)	-0.39	eV/atom
crystal system	tetragonal
total energy	-0.334	Ha/atom



# 3
This record from Alexandria via LeMat-Bulk describes a geometry-optimized CuTcPt2 structure. The functional is PBE-GGA.

a b c (Å): 6.173 6.173 6.173
angles (deg): 90.00 90.00 90.00
Fractional positions:
Cu  0.000  0.000  0.000
Cu  0.000  0.500  0.500
Cu  0.500  0.000  0.500
Cu  0.500  0.500  0.000
Tc  0.250  0.250  0.250
Tc  0.250  0.750  0.750
Tc  0.750  0.250  0.750
Tc  0.750  0.750  0.250
Pt  0.000  0.000  0.500
Pt  0.000  0.500  0.000
Pt  0.250  0.250  0.750
Pt  0.250  0.750  0.250
Pt  0.500  0.000  0.000
Pt  0.500  0.500  0.500
Pt  0.750  0.250  0.250
Pt  0.750  0.750  0.750

Properties
total magnetic moment	0.0	μB/f.u.
theoretical density	15.58	g/cm3
energy above the most stable polymorph in this dataset	314.0	meV per atom
ΔH_f (0 K)	0.13	eV/atom
crystal system	cubic
total energy	-0.239	Ha/atom



# 4
This record from Alexandria via LeMat-Bulk describes a geometry-optimized CeSm4Er3 structure. The functional is PBE-GGA.

a b c (Å): 23.445 3.428 6.802
angles (deg): 90.00 106.72 90.00
Fractional positions:
Ce  0.000  0.000  0.000
Ce  0.500  0.500  0.000
Sm  0.123  0.500  0.366
Sm  0.241  0.000  0.236
Sm  0.259  0.500  0.764
Sm  0.377  0.000  0.634
Sm  0.623  0.000  0.366
Sm  0.741  0.500  0.236
Sm  0.759  0.000  0.764
Sm  0.877  0.500  0.634
Er  0.000  0.500  0.500
Er  0.123  0.500  0.882
Er  0.377  0.000  0.118
Er  0.500  0.000  0.500
Er  0.623  0.000  0.882
Er  0.877  0.500  0.118

Properties
total magnetic moment	1.0	μB/f.u.
theoretical density	7.89	g/cm3
ΔH_f (0 K)	0.20	eV/atom
crystal system	monoclinic
total energy	-0.170	Ha/atom



# 5
This record from Alexandria via LeMat-Bulk describes a geometry-optimized PmEr5Tm4 structure. The functional is PBE-GGA.

a b c (Å): 3.521 9.294 9.901
angles (deg): 74.50 89.94 79.08
Fractional positions:
Pm  0.000  0.000  0.000
Er  0.000  0.000  0.500
Er  0.200  0.599  0.101
Er  0.200  0.601  0.599
Er  0.800  0.399  0.401
Er  0.800  0.401  0.899
Tm  0.399  0.201  0.698
Tm  0.399  0.202  0.201
Tm  0.601  0.798  0.799
Tm  0.601  0.799  0.302

Properties
total magnetic moment	0.0	μB/f.u.
theoretical density	8.99	g/cm3
energy above the most stable polymorph in this dataset	0.0	meV per atom
ΔH_f (0 K)	0.02	eV/atom
crystal system	triclinic
total energy	-0.166	Ha/atom



# 6
This record from Alexandria via LeMat-Bulk describes a geometry-optimized LiFe2Hg structure. The functional is PBE-GGA.

a b c (Å): 2.777 2.777 28.275
angles (deg): 90.00 90.00 120.00
Fractional positions:
Li  0.000  0.000  0.000
Li  0.333  0.667  0.667
Li  0.667  0.333  0.333
Fe  0.000  0.000  0.253
Fe  0.000  0.000  0.747
Fe  0.333  0.667  0.413
Fe  0.333  0.667  0.920
Fe  0.667  0.333  0.080
Fe  0.667  0.333  0.587
Hg  0.000  0.000  0.500
Hg  0.333  0.667  0.167
Hg  0.667  0.333  0.833

Properties
total magnetic moment	5.4	μB/f.u.
theoretical density	8.42	g/cm3
ΔH_f (0 K)	0.50	eV/atom
crystal system	trigonal
total energy	-0.157	Ha/atom